K2GaRuF | PBE | optimized geometry

Cell and atoms, written as CIF:
```
data_K2GaRuF
_space_group_name_H-M_alt 'P 4/m m m'
_space_group_IT_number 123
_space_group_name_Hall '-P 4 2'
_cell_length_a 6.387
_cell_length_b 6.387
_cell_length_c 4.628
_cell_angle_alpha 90.00
_cell_angle_beta 90.00
_cell_angle_gamma 90.00
loop_
_atom_site_label
_atom_site_fract_x
_atom_site_fract_y
_atom_site_fract_z
_atom_site_occupancy
K1 0.000 0.500 0.000 1
Ga1 0.000 0.000 0.000 1
Ru1 0.000 0.000 0.500 1
F1 0.500 0.500 0.500 1
```

Results
total magnetic moment: 1.78 μB/f.u.
E_form (uncorrected): 0.016 eV/atom
E: -0.2394 Ry/atom

***

KLi2Au | PBE | optimized geometry

Cell and atoms, written as CIF:
```
data_KLi2Au
_space_group_name_H-M_alt 'P m m m'
_space_group_IT_number 47
_space_group_name_Hall '-P 2 2'
_cell_length_a 3.392
_cell_length_b 3.595
_cell_length_c 8.358
_cell_angle_alpha 90.00
_cell_angle_beta 90.00
_cell_angle_gamma 90.00
loop_
_atom_site_label
_atom_site_fract_x
_atom_site_fract_y
_atom_site_fract_z
_atom_site_occupancy
K1 0.000 0.000 0.000 1
Li1 0.500 0.500 0.348 1
Au1 0.000 0.000 0.500 1
```

Results
total magnetic moment: 0.00 μB/f.u.
formation energy: -0.159 eV/atom
E: -0.1624 Ry/atom

***

BaSi4Se | PBE | optimized geometry

Cell and atoms, written as CIF:
```
data_BaSi4Se
_space_group_name_H-M_alt 'F -4 3 m'
_space_group_IT_number 216
_space_group_name_Hall 'F -4 2 3'
_cell_length_a 7.876
_cell_length_b 7.876
_cell_length_c 7.876
_cell_angle_alpha 90.00
_cell_angle_beta 90.00
_cell_angle_gamma 90.00
loop_
_atom_site_label
_atom_site_fract_x
_atom_site_fract_y
_atom_site_fract_z
_atom_site_occupancy
Ba1 0.000 0.000 0.000 1
Si1 0.123 0.123 0.377 1
Se1 0.250 0.250 0.750 1
```

Results
total magnetic moment: 0.00 μB/f.u.
E_form (uncorrected): 0.159 eV/atom
E: -0.3203 Ry/atom

***

MgCoMo3 | PBE | optimized geometry

Cell and atoms, written as CIF:
```
data_MgCoMo3
_space_group_name_H-M_alt 'P m -3 m'
_space_group_IT_number 221
_space_group_name_Hall '-P 4 2 3'
_cell_length_a 4.504
_cell_length_b 4.504
_cell_length_c 4.504
_cell_angle_alpha 90.00
_cell_angle_beta 90.00
_cell_angle_gamma 90.00
loop_
_atom_site_label
_atom_site_fract_x
_atom_site_fract_y
_atom_site_fract_z
_atom_site_occupancy
Mg1 0.000 0.000 0.000 1
Co1 0.500 0.500 0.500 1
Mo1 0.000 0.500 0.500 1
```

Results
total magnetic moment: 0.00 μB/f.u.
formation energy: 1.072 eV/atom
E: -0.5267 Ry/atom
energy above the lowest structure with this stoichiometry: 0.0 meV per atom

***

CsPtN | PBE | optimized geometry

Cell and atoms, written as CIF:
```
data_CsPtN
_space_group_name_H-M_alt 'P 1'
_space_group_IT_number 1
_space_group_name_Hall 'P 1'
_cell_length_a 3.575
_cell_length_b 4.895
_cell_length_c 10.587
_cell_angle_alpha 90.17
_cell_angle_beta 90.00
_cell_angle_gamma 90.03
loop_
_atom_site_label
_atom_site_fract_x
_atom_site_fract_y
_atom_site_fract_z
_atom_site_occupancy
Cs1 0.000 0.000 0.000 1
Cs2 0.000 0.003 0.369 1
Pt1 0.499 0.501 0.185 1
Pt2 0.503 0.995 0.685 1
N1 0.502 0.377 0.685 1
N2 0.503 0.614 0.685 1
```

Results
total magnetic moment: 0.00 μB/f.u.
E_form (uncorrected): 0.126 eV/atom
E: -0.3636 Ry/atom
energy above the lowest structure with this stoichiometry: 247.9 meV per atom

***

ScTl2P | PBE | optimized geometry

Cell and atoms, written as CIF:
```
data_ScTl2P
_space_group_name_H-M_alt 'C 1 2/m 1'
_space_group_IT_number 12
_space_group_name_Hall '-C 2y'
_cell_length_a 16.357
_cell_length_b 3.697
_cell_length_c 3.569
_cell_angle_alpha 90.00
_cell_angle_beta 102.49
_cell_angle_gamma 90.00
loop_
_atom_site_label
_atom_site_fract_x
_atom_site_fract_y
_atom_site_fract_z
_atom_site_occupancy
Sc1 0.000 0.000 0.000 1
Tl1 0.176 0.000 0.675 1
P1 0.000 0.500 0.500 1
```

Results
total magnetic moment: 0.00 μB/f.u.
formation energy: -0.435 eV/atom
E: -0.3346 Ry/atom
energy above the lowest structure with this stoichiometry: 15.1 meV per atom

***

BaMgZnHg2 | PBE | optimized geometry

Cell and atoms, written as CIF:
```
data_BaMgZnHg2
_space_group_name_H-M_alt 'I -4 m 2'
_space_group_IT_number 119
_space_group_name_Hall 'I -4 -2'
_cell_length_a 4.594
_cell_length_b 4.594
_cell_length_c 13.046
_cell_angle_alpha 90.00
_cell_angle_beta 90.00
_cell_angle_gamma 90.00
loop_
_atom_site_label
_atom_site_fract_x
_atom_site_fract_y
_atom_site_fract_z
_atom_site_occupancy
Ba1 0.000 0.000 0.000 1
Mg1 0.000 0.500 0.250 1
Zn1 0.000 0.500 0.750 1
Hg1 0.000 0.000 0.380 1
```

Results
total magnetic moment: 0.00 μB/f.u.
formation energy: -0.322 eV/atom
E: -0.1030 Ry/atom

***

TiBi3As | PBE | optimized geometry

Cell and atoms, written as CIF:
```
data_TiBi3As
_space_group_name_H-M_alt 'P m -3 m'
_space_group_IT_number 221
_space_group_name_Hall '-P 4 2 3'
_cell_length_a 5.463
_cell_length_b 5.463
_cell_length_c 5.463
_cell_angle_alpha 90.00
_cell_angle_beta 90.00
_cell_angle_gamma 90.00
loop_
_atom_site_label
_atom_site_fract_x
_atom_site_fract_y
_atom_site_fract_z
_atom_site_occupancy
Ti1 0.000 0.000 0.000 1
Bi1 0.000 0.500 0.500 1
As1 0.500 0.500 0.500 1
```

Results
total magnetic moment: 0.00 μB/f.u.
formation energy: 0.905 eV/atom
E: -0.2890 Ry/atom
energy above the lowest structure with this stoichiometry: 427.5 meV per atom